Density functional theory data (PBE) for Ba2Li2Se after structural relaxation.

Calculated values
- D(E_F): 1.09 states/eV/f.u.
- Total energy: -2.671 eV/atom

```
10
Lattice="7.589 0.000 0.000 0.000 7.589 0.000 0.000 0.000 5.314" Properties=species:S:1:pos:R:3 pbc="T T T"
Se 3.795 3.795 0.000
Li 6.581 4.803 0.000
Li 1.008 2.786 0.000
Ba 5.190 6.194 2.657
Ba 2.399 1.396 2.657
Ba 1.396 5.190 2.657
Ba 6.194 2.399 2.657
Se 0.000 0.000 0.000
Li 4.803 1.008 0.000
Li 2.786 6.581 0.000
```